The following is a PBE-GGA calculation of an optimized crystal structure of LaPm2DyTm5, from Alexandria.

Summary:
energy relative to the elements	260	meV/atom
energy	-4.339	eV/atom
SG	I4/mcm (140)
DOS(E_F)	9.98	states/eV/f.u.

a b c (Å): 9.8282 9.8282 9.8282
angles (deg): 127.29 127.29 77.77
Last column: nearest neighbours and their distance in Å.
Positions (direct):
La: 0.2500 0.2500 0.0000  10 Tm 3.58-3.83
La: 0.7500 0.7500 0.0000  10 Tm 3.58-3.83
Pm: 0.1162 0.6162 0.7324  1 Pm 2.87, 2 Tm 2.99
Pm: 0.3838 0.1162 0.5000  1 Pm 2.87, 2 Tm 2.99
Pm: 0.6162 0.8838 0.5000  1 Pm 2.87, 2 Tm 2.99
Pm: 0.8838 0.3838 0.2676  1 Pm 2.87, 2 Tm 2.99
Dy: 0.2500 0.7500 0.5000  4 Tm 3.12
Dy: 0.7500 0.2500 0.5000  4 Tm 3.12
Tm: 0.0000 0.0000 0.0000  4 Pm 3.50, 8 Tm 3.75, 2 La 3.83
Tm: 0.0734 0.1555 0.5000  1 Pm 2.99, 1 Dy 3.12
Tm: 0.1555 0.6555 0.0821  1 Pm 2.99, 1 Dy 3.12
Tm: 0.3445 0.4266 0.5000  1 Pm 2.99, 1 Dy 3.12
Tm: 0.4266 0.9266 0.0821  1 Pm 2.99, 1 Dy 3.12
Tm: 0.5000 0.5000 0.0000  4 Pm 3.50, 8 Tm 3.75, 2 La 3.83
Tm: 0.5734 0.0734 0.9179  1 Pm 2.99, 1 Dy 3.12
Tm: 0.6555 0.5734 0.5000  1 Pm 2.99, 1 Dy 3.12
Tm: 0.8445 0.3445 0.9179  1 Pm 2.99, 1 Dy 3.12
Tm: 0.9266 0.8445 0.5000  1 Pm 2.99, 1 Dy 3.12

The following is a PBE-GGA calculation of an optimized crystal structure of Dy3Rh, from Alexandria.

Summary:
energy relative to the elements	-529	meV/atom
energy	-5.818	eV/atom
SG	Pnma (62)
DOS(E_F)	4.67	states/eV/f.u.

a b c (Å): 7.1572 9.4858 6.2913
angles (deg): 90.00 90.00 90.00
Last column: nearest neighbours and their distance in Å.
Positions (direct):
Dy: 0.0351 0.2500 0.1380  2 Rh 2.77-2.85
Dy: 0.1775 0.0636 0.6713  2 Rh 2.85-2.86
Dy: 0.1775 0.4364 0.6713  2 Rh 2.85-2.86
Dy: 0.3225 0.5636 0.1713  2 Rh 2.85-2.86
Dy: 0.3225 0.9364 0.1713  2 Rh 2.85-2.86
Dy: 0.4649 0.7500 0.6380  2 Rh 2.77-2.85
Dy: 0.5351 0.2500 0.3620  2 Rh 2.77-2.85
Dy: 0.6775 0.0636 0.8287  2 Rh 2.85-2.86
Dy: 0.6775 0.4364 0.8287  2 Rh 2.85-2.86
Dy: 0.8225 0.5636 0.3287  2 Rh 2.85-2.86
Dy: 0.8225 0.9364 0.3287  2 Rh 2.85-2.86
Dy: 0.9649 0.7500 0.8620  2 Rh 2.77-2.85
Rh: 0.1177 0.7500 0.4431  6 Dy 2.77-2.86
Rh: 0.3823 0.2500 0.9431  6 Dy 2.77-2.86
Rh: 0.6177 0.7500 0.0569  6 Dy 2.77-2.86
Rh: 0.8823 0.2500 0.5569  6 Dy 2.77-2.86

The following is a PBE-GGA calculation of an optimized crystal structure of TaNi2W, from Alexandria.

Summary:
energy relative to the elements	-64	meV/atom
energy	-9.157	eV/atom
SG	Cmmm (65)
DOS(E_F)	2.55	states/eV/f.u.

a b c (Å): 5.4140 7.5871 2.7063
angles (deg): 90.00 90.00 90.00
Last column: nearest neighbours and their distance in Å.
Positions (direct):
Ta: 0.0000 0.0000 0.0000  8 Ni 2.69, 2 Ta 2.71, 2 W 2.71
Ta: 0.5000 0.5000 0.0000  8 Ni 2.69, 2 Ta 2.71, 2 W 2.71
Ni: 0.2500 0.2500 0.5000  4 Ta 2.69, 4 W 2.69, 4 Ni 2.71
Ni: 0.2500 0.7500 0.5000  4 Ta 2.69, 4 W 2.69, 4 Ni 2.71
Ni: 0.7500 0.2500 0.5000  4 Ta 2.69, 4 W 2.69, 4 Ni 2.71
Ni: 0.7500 0.7500 0.5000  4 W 2.69, 4 Ta 2.69, 4 Ni 2.71
W: 0.0000 0.5000 0.0000  8 Ni 2.69, 2 W 2.71, 2 Ta 2.71
W: 0.5000 0.0000 0.0000  8 Ni 2.69, 2 W 2.71, 2 Ta 2.71

The following is a PBE-GGA calculation of an optimized crystal structure of ErPuTe2, from Alexandria.

Summary:
relative energy among the computed polymorphs	0.061	eV per atom
energy	-7.417	eV/atom
SG	R3m (160)
DOS(E_F)	9.44	states/eV/f.u.

a b c (Å): 4.2031 4.2031 23.3652
angles (deg): 90.00 90.00 120.00
Last column: nearest neighbours and their distance in Å.
Positions (direct):
Er: 0.0000 0.0000 0.0000  6 Te 3.05-3.13
Er: 0.3333 0.6667 0.6667  6 Te 3.05-3.13
Er: 0.6667 0.3333 0.3333  6 Te 3.05-3.13
Pu: 0.0000 0.0000 0.1725  6 Te 3.09-3.18
Pu: 0.3333 0.6667 0.8391  6 Te 3.09-3.18
Pu: 0.6667 0.3333 0.5058  6 Te 3.09-3.18
Te: 0.0000 0.0000 0.5874  3 Er 3.05, 3 Pu 3.09
Te: 0.0000 0.0000 0.7510  3 Er 3.13, 3 Pu 3.18
Te: 0.3333 0.6667 0.2541  3 Er 3.05, 3 Pu 3.09
Te: 0.3333 0.6667 0.4176  3 Er 3.13, 3 Pu 3.18
Te: 0.6667 0.3333 0.0843  3 Er 3.13, 3 Pu 3.18
Te: 0.6667 0.3333 0.9207  3 Er 3.05, 3 Pu 3.09

The following is a PBE-GGA calculation of an optimized crystal structure of AsPtSe2S, from Alexandria.

Summary:
relative energy among the computed polymorphs	0.173	eV per atom
energy	-3.400	eV/atom
SG	P4/mmm (123)
DOS(E_F)	5.13	states/eV/f.u.

a b c (Å): 4.6973 4.6973 4.8151
angles (deg): 90.00 90.00 90.00
Last column: nearest neighbours and their distance in Å.
Positions (direct):
As: 0.0000 0.0000 0.0000  2 S 2.41
Pt: 0.5000 0.5000 0.0000  4 As 3.32, 8 Se 3.36
Se: 0.0000 0.5000 0.5000  2 S 2.35
Se: 0.5000 0.0000 0.5000  2 S 2.35
S: 0.0000 0.0000 0.5000  4 Se 2.35, 2 As 2.41

The following is a PBE-GGA calculation of an optimized crystal structure of NbInAs2Cl, from Alexandria.

Summary:
relative energy among the computed polymorphs	0.000	eV per atom
energy	-4.857	eV/atom
SG	P4/mmm (123)
DOS(E_F)	4.75	states/eV/f.u.

a b c (Å): 5.3255 5.3255 5.1094
angles (deg): 90.00 90.00 90.00
Last column: nearest neighbours and their distance in Å.
Positions (direct):
Nb: 0.0000 0.0000 0.0000  2 Cl 2.55, 4 As 2.66
In: 0.5000 0.5000 0.5000  8 As 3.69, 4 Cl 3.77
As: 0.0000 0.5000 0.0000  2 Nb 2.66
As: 0.5000 0.0000 0.0000  2 Nb 2.66
Cl: 0.0000 0.0000 0.5000  2 Nb 2.55

The following is a PBE-GGA calculation of an optimized crystal structure of CdOsPb2, from Alexandria.

Summary:
energy relative to the elements	787	meV/atom
energy	-4.103	eV/atom
SG	I4/mmm (139)
DOS(E_F)	3.40	states/eV/f.u.

a b c (Å): 4.6673 4.6673 8.1910
angles (deg): 90.00 90.00 90.00
Last column: nearest neighbours and their distance in Å.
Positions (direct):
Cd: 0.0000 0.0000 0.0000  8 Pb 3.10, 4 Os 3.30
Cd: 0.5000 0.5000 0.5000  8 Pb 3.10, 4 Os 3.30
Os: 0.0000 0.0000 0.5000  8 Pb 3.10, 4 Cd 3.30
Os: 0.5000 0.5000 0.0000  8 Pb 3.10, 4 Cd 3.30
Pb: 0.0000 0.5000 0.2500  4 Cd 3.10, 4 Os 3.10, 4 Pb 3.30
Pb: 0.0000 0.5000 0.7500  4 Cd 3.10, 4 Os 3.10, 4 Pb 3.30
Pb: 0.5000 0.0000 0.2500  4 Cd 3.10, 4 Os 3.10, 4 Pb 3.30
Pb: 0.5000 0.0000 0.7500  4 Cd 3.10, 4 Os 3.10, 4 Pb 3.30

The following is a PBE-GGA calculation of an optimized crystal structure of USnBi2, from Alexandria.

Summary:
relative energy among the computed polymorphs	0.005	eV per atom
energy relative to the elements	24	meV/atom
energy	-5.739	eV/atom
SG	P4/mmm (123)
DOS(E_F)	8.33	states/eV/f.u.

a b c (Å): 4.9964 4.9964 4.4767
angles (deg): 90.00 90.00 90.00
Last column: nearest neighbours and their distance in Å.
Positions (direct):
U: 0.0000 0.0000 0.0000  8 Bi 3.35, 4 Sn 3.53
Sn: 0.5000 0.5000 0.0000  8 Bi 3.35, 4 U 3.53
Bi: 0.0000 0.5000 0.5000  4 Sn 3.35, 4 U 3.35, 4 Bi 3.53
Bi: 0.5000 0.0000 0.5000  4 Sn 3.35, 4 U 3.35, 4 Bi 3.53

The following is a PBE-GGA calculation of an optimized crystal structure of Li3ErHg2, from Alexandria.

Summary:
energy relative to the elements	-298	meV/atom
energy	-2.116	eV/atom
SG	C2/m (12)
DOS(E_F)	3.57	states/eV/f.u.

a b c (Å): 7.6835 7.6835 9.4859
angles (deg): 122.58 122.58 31.55
Last column: nearest neighbours and their distance in Å.
Positions (direct):
Li: 0.0644 0.0644 0.4125  5 Li 2.70-3.00, 3 Hg 2.75-2.87
Li: 0.2612 0.2612 0.4126  6 Li 2.80-3.06, 5 Hg 2.88-3.10
Li: 0.4255 0.4255 0.3125  3 Hg 2.65-2.84, 3 Li 2.70-2.96
Li: 0.5745 0.5745 0.6875  3 Hg 2.65-2.84, 3 Li 2.70-2.96
Li: 0.7388 0.7388 0.5874  6 Li 2.80-3.06, 5 Hg 2.88-3.10
Li: 0.9356 0.9356 0.5875  5 Li 2.70-3.00, 3 Hg 2.75-2.87
Er: 0.1225 0.1225 0.9976  7 Hg 3.09-3.27, 4 Li 3.27-3.34
Er: 0.8775 0.8775 0.0024  7 Hg 3.09-3.27, 4 Li 3.27-3.34
Hg: 0.2046 0.2046 0.7617  5 Li 2.65-2.88
Hg: 0.4239 0.4239 0.7840  6 Li 2.84-3.10, 1 Hg 3.13
Hg: 0.5761 0.5761 0.2160  6 Li 2.84-3.10, 1 Hg 3.13
Hg: 0.7954 0.7954 0.2383  5 Li 2.65-2.88

The following is a PBE-GGA calculation of an optimized crystal structure of BeIr2Ru, from Alexandria.

Summary:
energy relative to the elements	-55	meV/atom
energy	-7.736	eV/atom
SG	I4/mmm (139)
DOS(E_F)	4.56	states/eV/f.u.

a b c (Å): 3.7419 3.7419 7.5786
angles (deg): 90.00 90.00 90.00
Last column: nearest neighbours and their distance in Å.
Positions (direct):
Be: 0.0000 0.0000 0.0000  4 Ru 2.65, 8 Ir 2.66
Be: 0.5000 0.5000 0.5000  4 Ru 2.65, 8 Ir 2.66
Ir: 0.0000 0.5000 0.2500  4 Ir 2.65, 4 Be 2.66, 4 Ru 2.66
Ir: 0.0000 0.5000 0.7500  4 Ir 2.65, 4 Be 2.66, 4 Ru 2.66
Ir: 0.5000 0.0000 0.2500  4 Ir 2.65, 4 Be 2.66, 4 Ru 2.66
Ir: 0.5000 0.0000 0.7500  4 Ir 2.65, 4 Be 2.66, 4 Ru 2.66
Ru: 0.0000 0.0000 0.5000  4 Be 2.65, 8 Ir 2.66
Ru: 0.5000 0.5000 0.0000  4 Be 2.65, 8 Ir 2.66